1.
Here is a geometry-optimized Zr2ZnAg structure from Alexandria. Energies are from GGA-PBEsol.

Values from the calculation:
Symmetry: P4mm
Fermi-level density of states, states/eV/cell: 1.7
ΔH_f (0 K), eV per atom: -0.13

POSCAR file:
```
Zr2ZnAg
1.0
3.358 0.000 0.000
0.000 3.358 0.000
0.000 0.000 6.638
Ag Zr Zn
1 2 1
Direct
0.000 0.000 0.526
0.000 0.000 0.975
0.500 0.500 0.268
0.500 0.500 0.731
```



2.
Here is a geometry-optimized Zr2ZnAg structure from Alexandria. Energies are from GGA-PBEsol.

Values from the calculation:
Symmetry: P4/mmm
Fermi-level density of states, states/eV/cell: 4.0
ΔH_f (0 K), eV per atom: -0.17

POSCAR file:
```
Zr2ZnAg
1.0
-1.866 0.467 -2.369
-0.762 -2.955 0.018
-5.941 1.562 4.988
Ag Zr Zn
1 2 1
Direct
0.500 0.500 0.000
0.000 0.000 0.738
0.000 0.000 0.262
0.500 0.500 0.500
```



3.
Here is a geometry-optimized ZrZnAg2 structure from Alexandria. Energies are from GGA-PBEsol.

Values from the calculation:
Symmetry: P4mm
Fermi-level density of states, states/eV/cell: 2.8
ΔH_f (0 K), eV per atom: -0.10

POSCAR file:
```
ZrZnAg2
1.0
-0.462 2.974 -0.778
0.533 -0.698 -2.986
-6.888 -1.312 -0.923
Zr Zn Ag
1 1 2
Direct
0.500 0.500 0.737
0.000 0.000 0.479
0.500 0.500 0.267
0.000 0.000 0.017
```



4.
Here is a geometry-optimized Zr2ZnAg structure from Alexandria. Energies are from GGA-PBEsol.

Values from the calculation:
Symmetry: Pmm2
Fermi-level density of states, states/eV/cell: 3.6
ΔH_f (0 K), eV per atom: -0.14

POSCAR file:
```
Zr2ZnAg
1.0
-0.719 -2.862 -0.131
0.580 -0.366 4.815
-4.931 1.208 0.685
Zr Zn Ag
2 1 1
Direct
0.000 0.500 0.685
0.000 0.000 0.074
0.500 0.500 0.190
0.500 0.000 0.550
```



5.
Here is a geometry-optimized Zr2Zn2Ag structure from Alexandria. Energies are from GGA-PBEsol.

Values from the calculation:
Symmetry: P4/mbm
Fermi-level density of states, states/eV/cell: 8.1
ΔH_f (0 K), eV per atom: -0.23

POSCAR file:
```
Zr2Zn2Ag
1.0
-2.717 1.847 -2.235
-4.632 -1.132 4.694
1.545 5.815 2.927
Ag Zn Zr
2 4 4
Direct
0.000 0.000 0.000
0.000 0.500 0.500
0.000 0.869 0.631
0.000 0.631 0.131
0.000 0.131 0.369
0.000 0.369 0.869
0.500 0.331 0.169
0.500 0.169 0.669
0.500 0.831 0.331
0.500 0.669 0.831
```



6.
Here is a geometry-optimized Zr3ZnAg structure from Alexandria. Energies are from GGA-PBEsol.

Values from the calculation:
Symmetry: Pm-3m
Fermi-level density of states, states/eV/cell: 8.7
ΔH_f (0 K), eV per atom: 0.71

POSCAR file:
```
Zr3ZnAg
1.0
4.881 0.000 0.000
0.000 4.881 0.000
0.000 0.000 4.881
Zr Zn Ag
3 1 1
Direct
0.500 0.000 0.000
0.000 0.500 0.000
0.000 0.000 0.500
0.000 0.000 0.000
0.500 0.500 0.500
```



7.
Here is a geometry-optimized ZrZnAg2 structure from Alexandria. Energies are from GGA-PBEsol.

Values from the calculation:
Symmetry: Amm2
Fermi-level density of states, states/eV/cell: 2.6
ΔH_f (0 K), eV per atom: -0.07

POSCAR file:
```
ZrZnAg2
1.0
-0.275 -2.566 -1.165
2.846 -1.579 2.806
-4.079 0.095 4.191
Ag Zr Zn
2 1 1
Direct
0.930 0.000 0.860
0.314 0.500 0.628
0.572 0.500 0.143
0.189 0.000 0.377
```



8.
Here is a geometry-optimized ZrAg5 structure from Alexandria. Energies are from GGA-PBEsol.

Values from the calculation:
Symmetry: Cmmm
Fermi-level density of states, states/eV/cell: 4.5
ΔH_f (0 K), eV per atom: 0.04

POSCAR file:
```
ZrAg5
1.0
4.006 0.000 0.000
0.000 4.271 0.000
0.000 2.136 6.133
Ag Zr
5 1
Direct
0.500 0.500 0.000
0.000 0.333 0.334
0.500 0.831 0.339
0.500 0.169 0.661
0.000 0.667 0.666
0.000 0.000 0.000
```



9.
Here is a geometry-optimized ZrAg2 structure from Alexandria. Energies are from GGA-PBEsol.

Values from the calculation:
Symmetry: P6/mmm
Fermi-level density of states, states/eV/cell: 2.2
ΔH_f (0 K), eV per atom: -0.12

POSCAR file:
```
ZrAg2
1.0
-1.307 2.351 -0.805
-3.858 -1.349 2.320
3.277 2.568 2.181
Zr Ag
1 2
Direct
0.000 0.000 0.000
0.500 0.333 0.667
0.500 0.667 0.333
```



10.
Here is a geometry-optimized Zr3Ag4 structure from Alexandria. Energies are from GGA-PBEsol.

Values from the calculation:
Symmetry: I4/mmm
Fermi-level density of states, states/eV/cell: 4.2
ΔH_f (0 K), eV per atom: -0.12

POSCAR file:
```
Zr3Ag4
1.0
-0.258 2.873 -1.929
-2.587 1.124 2.020
8.674 3.016 6.450
Zr Ag
3 4
Direct
0.000 0.000 0.000
0.707 0.707 0.415
0.293 0.293 0.585
0.571 0.571 0.141
0.136 0.136 0.272
0.864 0.864 0.728
0.429 0.429 0.859
```



11.
Here is a geometry-optimized ZrAg2 structure from Alexandria. Energies are from GGA-PBEsol.

Values from the calculation:
Symmetry: P-3m1
Fermi-level density of states, states/eV/cell: 2.2
ΔH_f (0 K), eV per atom: 0.03

POSCAR file:
```
ZrAg2
1.0
-2.453 -1.025 -1.275
0.831 -1.026 2.637
-3.868 5.215 3.248
Ag Zr
2 1
Direct
0.333 0.667 0.659
0.667 0.333 0.341
0.000 0.000 0.000
```



12.
Here is a geometry-optimized ZrAg2 structure from Alexandria. Energies are from GGA-PBEsol.

Values from the calculation:
Symmetry: I4/mmm
Fermi-level density of states, states/eV/cell: 2.4
ΔH_f (0 K), eV per atom: -0.04

POSCAR file:
```
ZrAg2
1.0
2.990 0.000 0.000
0.000 2.990 0.000
-1.495 -1.495 6.088
Zr Ag
1 2
Direct
0.000 0.000 0.000
0.672 0.672 0.345
0.328 0.328 0.655
```



Q: Fermi-level density of states of number 4 (Zr2ZnAg)?
A: 3.6 states/eV/cell



Q: Which of these has the highest Fermi-level density of states?
A: Zr3ZnAg



Q: Which of these has the lowest Fermi-level density of states?
A: number 1



Q: Which of these has the highest Fermi-level density of states?
A: Zr3ZnAg